# 1
The following is a DFT calculation (PBE) of a relaxed structure of LaTl2Os.

abc: 5.033 3.775 5.469
angles: 76.17 90.00 90.00
Element x y z (fractional)
Os (0.500, 0.750, 0.750)
Tl (0.000, 0.901, 0.969)
Tl (0.000, 0.599, 0.531)
La (0.500, 0.250, 0.250)

Summary:
E_form: 292 meV/atom
magnetic moment: 0.0 μB per formula unit
distance to the lowest polymorph of the same formula: 0.081 eV/atom

# 2
The following is a DFT calculation (PBE) of a relaxed structure of La2TlOs.

abc: 3.520 3.520 8.871
angles: 90.00 90.00 90.16
Element x y z (fractional)
La (0.000, 0.000, 0.051)
La (0.000, 0.000, 0.449)
Os (0.500, 0.500, 0.250)
Tl (0.500, 0.500, 0.750)

Summary:
E_form: -201 meV/atom
magnetic moment: 0.0 μB per formula unit
distance to the lowest polymorph of the same formula: 0.000 eV/atom

# 3
The following is a DFT calculation (PBE) of a relaxed structure of La8Tl2Os.

abc: 5.659 7.094 9.732
angles: 109.33 106.90 90.00
Element x y z (fractional)
La (0.996, 0.217, 0.992)
La (0.791, 0.752, 0.583)
La (0.209, 0.248, 0.417)
La (0.592, 0.405, 0.184)
La (0.645, 0.924, 0.289)
La (0.355, 0.076, 0.711)
La (0.004, 0.783, 0.008)
La (0.408, 0.595, 0.816)
Os (0.500, 0.000, 0.000)
Tl (0.823, 0.309, 0.645)
Tl (0.177, 0.691, 0.355)

Summary:
E_form: -208 meV/atom
magnetic moment: 0.0 μB per formula unit

# 4
The following is a DFT calculation (PBE) of a relaxed structure of La5Tl2Os2.

abc: 7.887 8.062 9.321
angles: 90.00 64.97 90.00
Element x y z (fractional)
La (0.222, 0.166, 0.225)
La (0.500, 0.500, 0.000)
La (0.722, 0.334, 0.225)
La (0.053, 0.666, 0.225)
La (0.000, 0.000, 0.000)
La (0.553, 0.834, 0.225)
La (0.447, 0.166, 0.775)
La (0.778, 0.834, 0.775)
La (0.278, 0.666, 0.775)
La (0.947, 0.334, 0.775)
Tl (0.281, 0.500, 0.438)
Tl (0.219, 0.000, 0.562)
Tl (0.781, 0.000, 0.438)
Tl (0.719, 0.500, 0.562)
Os (0.132, 0.366, 0.000)
Os (0.632, 0.134, 0.000)
Os (0.368, 0.866, 0.000)
Os (0.868, 0.634, 0.000)

Summary:
E_form: -248 meV/atom
magnetic moment: 0.0 μB per formula unit

# 5
The following is a DFT calculation (PBE) of a relaxed structure of La2YTlOs.

abc: 5.528 5.528 5.493
angles: 90.00 90.00 90.00
Element x y z (fractional)
La (0.000, 0.500, 0.000)
La (0.500, 0.000, 0.000)
Os (0.000, 0.000, 0.000)
Tl (0.500, 0.500, 0.500)
Y (0.000, 0.000, 0.500)

Summary:
E_form: -152 meV/atom
magnetic moment: 0.0 μB per formula unit

# 6
The following is a DFT calculation (PBE) of a relaxed structure of La2TlZnOs.

abc: 5.482 5.482 4.996
angles: 90.00 90.00 90.00
Element x y z (fractional)
Os (0.000, 0.000, 0.000)
Zn (0.000, 0.000, 0.500)
La (0.500, 0.000, 0.000)
La (0.000, 0.500, 0.000)
Tl (0.500, 0.500, 0.500)

Summary:
E_form: -115 meV/atom
magnetic moment: 0.0 μB per formula unit

# 7
The following is a DFT calculation (PBE) of a relaxed structure of La2TmOs.

abc: 6.414 7.468 9.705
angles: 90.00 90.00 90.00
Element x y z (fractional)
Os (0.542, 0.117, 0.750)
Os (0.042, 0.383, 0.250)
Os (0.958, 0.617, 0.750)
Os (0.458, 0.883, 0.250)
La (0.172, 0.676, 0.434)
La (0.672, 0.824, 0.566)
La (0.828, 0.324, 0.934)
La (0.328, 0.176, 0.434)
La (0.328, 0.176, 0.066)
La (0.172, 0.676, 0.066)
La (0.672, 0.824, 0.934)
La (0.828, 0.324, 0.566)
Tm (0.351, 0.455, 0.750)
Tm (0.649, 0.545, 0.250)
Tm (0.149, 0.955, 0.750)
Tm (0.851, 0.045, 0.250)

Summary:
E_form: -175 meV/atom
magnetic moment: 0.0 μB per formula unit

# 8
The following is a DFT calculation (PBE) of a relaxed structure of LaTm3Os.

abc: 5.393 5.393 5.393
angles: 90.00 90.00 90.00
Element x y z (fractional)
Tm (0.500, 0.000, 0.000)
Tm (0.000, 0.000, 0.500)
Tm (0.000, 0.500, 0.000)
La (0.500, 0.500, 0.500)
Os (0.000, 0.000, 0.000)

Summary:
E_form: -70 meV/atom
magnetic moment: 0.0 μB per formula unit

# 9
The following is a DFT calculation (PBE) of a relaxed structure of LaTmOs4.

abc: 5.409 5.409 5.409
angles: 60.00 60.00 60.00
Element x y z (fractional)
Os (0.625, 0.625, 0.625)
Os (0.124, 0.625, 0.625)
Os (0.625, 0.124, 0.625)
Os (0.625, 0.625, 0.124)
La (0.250, 0.250, 0.250)
Tm (0.000, 0.000, 0.000)

Summary:
E_form: -143 meV/atom
magnetic moment: 0.0 μB per formula unit

# 10
The following is a DFT calculation (PBE) of a relaxed structure of LaUOs2.

abc: 3.390 3.390 7.415
angles: 90.00 90.00 90.00
Element x y z (fractional)
U (0.500, 0.500, 0.000)
Os (0.000, 0.000, 0.198)
Os (0.000, 0.000, 0.802)
La (0.500, 0.500, 0.500)

Summary:
E_form: -40 meV/atom
magnetic moment: 0.0 μB per formula unit

# 11
The following is a DFT calculation (PBE) of a relaxed structure of La3U2Os4.

abc: 4.337 6.148 9.012
angles: 103.72 90.02 110.65
Element x y z (fractional)
Os (0.722, 0.444, 0.091)
Os (0.278, 0.556, 0.909)
Os (0.079, 0.158, 0.635)
Os (0.921, 0.842, 0.365)
La (0.631, 0.262, 0.383)
La (0.000, 0.000, 0.000)
La (0.369, 0.738, 0.617)
U (0.671, 0.342, 0.777)
U (0.329, 0.658, 0.223)

Summary:
E_form: -141 meV/atom
magnetic moment: 0.0 μB per formula unit

# 12
The following is a DFT calculation (PBE) of a relaxed structure of LaUOs.

abc: 3.543 3.543 6.195
angles: 106.62 106.62 90.00
Element x y z (fractional)
U (0.702, 0.702, 0.404)
Os (0.296, 0.296, 0.592)
La (0.002, 0.002, 0.004)

Summary:
E_form: 42 meV/atom
magnetic moment: 0.2 μB per formula unit
distance to the lowest polymorph of the same formula: 0.000 eV/atom